Arrangement one

The following is a PBE-GGA calculation of a relaxed KCd3Co crystal, from Alexandria.

Unit cell a=5.101 b=5.101 c=5.101 alpha=90.00 beta=90.00 gamma=90.00
Sites, in units of the cell vectors:
Cd: 0.000 0.000 0.500
Cd: 0.000 0.500 0.000
Cd: 0.500 0.000 0.000
K: 0.500 0.500 0.500
Co: 0.000 0.000 0.000


Arrangement two

The following is a PBE-GGA calculation of a relaxed KCd3Co crystal, from Alexandria.

Unit cell a=6.513 b=6.513 c=6.513 alpha=90.00 beta=90.00 gamma=90.00
Sites, in units of the cell vectors:
Cd: 0.000 0.500 0.000
Cd: 0.000 0.000 0.500
Cd: 0.500 0.000 0.000
Co: 0.500 0.500 0.500
K: 0.000 0.000 0.000


It comes down to arrangement one, which is 1112 meV/atom more stable than the next structure.


Arrangement one

The following is a PBE-GGA calculation of a relaxed LaCdCo3 crystal, from Alexandria.

Unit cell a=4.768 b=4.768 c=4.768 alpha=90.00 beta=90.00 gamma=90.00
Sites, in units of the cell vectors:
La: 0.500 0.500 0.500
Co: 0.500 0.000 0.000
Cd: 0.000 0.000 0.000
Co: 0.000 0.000 0.500
Co: 0.000 0.500 0.000


Arrangement two

The following is a PBE-GGA calculation of a relaxed LaCdCo3 crystal, from Alexandria.

Unit cell a=4.655 b=4.655 c=4.655 alpha=90.00 beta=90.00 gamma=90.00
Sites, in units of the cell vectors:
Cd: 0.500 0.500 0.500
Co: 0.500 0.000 0.000
Co: 0.000 0.500 0.000
La: 0.000 0.000 0.000
Co: 0.000 0.000 0.500


It comes down to arrangement one, which is 426 meV/atom more stable than the next structure.


Arrangement one

The following is a PBE-GGA calculation of a relaxed La5CdCo crystal, from Alexandria.

Unit cell a=5.027 b=5.027 c=8.307 alpha=90.00 beta=90.00 gamma=90.00
Sites, in units of the cell vectors:
La: 0.000 0.500 0.192
La: 0.500 0.000 0.808
Co: 0.500 0.500 0.000
La: 0.500 0.000 0.192
Cd: 0.000 0.000 0.500
La: 0.500 0.500 0.500
La: 0.000 0.500 0.808


Arrangement two

The following is a PBE-GGA calculation of a relaxed La5CdCo crystal, from Alexandria.

Unit cell a=6.472 b=6.472 c=12.020 alpha=73.71 beta=73.71 gamma=68.52
Sites, in units of the cell vectors:
Co: 0.000 0.000 0.500
La: 0.417 0.032 0.364
La: 0.569 0.190 0.052
Co: 0.000 0.000 0.000
La: 0.583 0.968 0.636
La: 0.190 0.569 0.552
La: 0.032 0.417 0.864
Cd: 0.543 0.457 0.750
La: 0.810 0.431 0.448
La: 0.431 0.810 0.948
Cd: 0.457 0.543 0.250
La: 0.008 0.992 0.250
La: 0.992 0.008 0.750
La: 0.968 0.583 0.136


It comes down to arrangement two, which is 27 meV/atom more stable than the next structure.


Arrangement one

The following is a PBE-GGA calculation of a relaxed La3CdCo crystal, from Alexandria.

Unit cell a=5.539 b=6.580 c=9.496 alpha=110.34 beta=89.84 gamma=115.07
Sites, in units of the cell vectors:
Cd: 0.407 0.812 0.561
La: 0.853 0.704 0.342
La: 0.147 0.296 0.658
La: 0.115 0.229 0.250
La: 0.628 0.259 0.932
La: 0.372 0.741 0.068
La: 0.885 0.771 0.750
Co: 0.106 0.216 0.945
Cd: 0.593 0.188 0.439
Co: 0.894 0.784 0.055


Arrangement two

The following is a PBE-GGA calculation of a relaxed La3CdCo crystal, from Alexandria.

Unit cell a=5.354 b=5.354 c=5.354 alpha=90.00 beta=90.00 gamma=90.00
Sites, in units of the cell vectors:
Cd: 0.500 0.500 0.500
La: 0.000 0.500 0.000
La: 0.500 0.000 0.000
Co: 0.000 0.000 0.000
La: 0.000 0.000 0.500


It comes down to arrangement one, which is 21 meV/atom more stable than the next structure.